1.
A relaxed structure of Ni2BiPt2. Source: Alexandria, functional PBE.

Values from the calculation:
- Energy of formation: 121 meV/atom

Cell: 3.820 3.820 11.619 Å, 90.00 90.00 90.00°
Positions (direct):
Ni: 0.000 0.000 0.102
Ni: 0.000 0.000 0.898
Ni: 0.500 0.500 0.398
Ni: 0.500 0.500 0.602
Bi: 0.000 0.000 0.500
Bi: 0.500 0.500 0.000
Pt: 0.000 0.500 0.250
Pt: 0.000 0.500 0.750
Pt: 0.500 0.000 0.250
Pt: 0.500 0.000 0.750

***

2.
A relaxed structure of DyYTlZn. Source: Alexandria, functional PBE.

Values from the calculation:
- Energy of formation: -342 meV/atom

Cell: 7.395 7.395 7.395 Å, 90.00 90.00 90.00°
Positions (direct):
Dy: 0.000 0.000 0.000
Dy: 0.000 0.500 0.500
Dy: 0.500 0.000 0.500
Dy: 0.500 0.500 0.000
Y: 0.000 0.000 0.500
Y: 0.000 0.500 0.000
Y: 0.500 0.000 0.000
Y: 0.500 0.500 0.500
Tl: 0.250 0.250 0.250
Tl: 0.250 0.750 0.750
Tl: 0.750 0.250 0.750
Tl: 0.750 0.750 0.250
Zn: 0.250 0.250 0.750
Zn: 0.250 0.750 0.250
Zn: 0.750 0.250 0.250
Zn: 0.750 0.750 0.750